Entry 1:
This record from Alexandria describes a relaxed TaReCS2 crystal. The functional is PBE-GGA.

Cell lengths 4.625, 5.110, 4.625 Å; angles 90.00, 90.00, 90.00 degrees
Element x y z (fractional)
S 0.000 0.000 0.500
S 0.500 0.000 0.000
Ta 0.000 0.000 0.000
C 0.500 0.500 0.500
Re 0.000 0.500 0.000


Entry 2:
This record from Alexandria describes a relaxed ReSbC3 crystal. The functional is PBE-GGA.

Summary:
Distance to the lowest polymorph of the same formula in meV/atom: 0

Cell lengths 4.085, 4.085, 4.085 Å; angles 90.00, 90.00, 90.00 degrees
Element x y z (fractional)
C 0.000 0.500 0.000
C 0.000 0.000 0.500
C 0.500 0.000 0.000
Sb 0.500 0.500 0.500
Re 0.000 0.000 0.000


Entry 3:
This record from Alexandria describes a relaxed ReSbC3 crystal. The functional is PBE-GGA.

Summary:
Distance to the lowest polymorph of the same formula in meV/atom: 1649

Cell lengths 4.114, 4.114, 4.114 Å; angles 90.00, 90.00, 90.00 degrees
Element x y z (fractional)
Sb 0.000 0.000 0.000
C 0.000 0.500 0.000
C 0.500 0.000 0.000
C 0.000 0.000 0.500
Re 0.500 0.500 0.500


Calculated density values (in g/cm³) by entry order: 6.73; 8.38; 8.20.
Spin magnetization values (in μB per atom) by entry order: 0.10; 0.00; 0.00.
Raw formation energy values (in meV/atom) by entry order: 2235; 1807; 3455.